Arrangement a

{
  "formula": "CaHg2Bi2",
  "functional": "PBE",
  "state": "relaxed",
  "magmom_total_mub_per_fu": 0.0,
  "cell": [[4.6435, 0.0000, 0.0000], [0.0000, 4.6435, 0.0000], [2.3218, 2.3218, 7.3424]],
  "species": ["Ca", "Bi", "Bi", "Hg", "Hg"],
  "frac_coords": [[0.0000, 0.0000, 0.0000], [0.7500, 0.2500, 0.5000], [0.2500, 0.7500, 0.5000], [0.4033, 0.4033, 0.1934], [0.5967, 0.5967, 0.8066]]
}



Arrangement b

{
  "formula": "CaHg2Bi2",
  "functional": "PBE",
  "state": "relaxed",
  "magmom_total_mub_per_fu": 0.0,
  "cell": [[8.2765, 0.0000, 0.0000], [0.0000, 8.2765, 0.0000], [0.0000, 0.0000, 4.2365]],
  "species": ["Ca", "Ca", "Bi", "Bi", "Bi", "Bi", "Hg", "Hg", "Hg", "Hg"],
  "frac_coords": [[0.0000, 0.0000, 0.0000], [0.5000, 0.5000, 0.0000], [0.1776, 0.6776, 0.5000], [0.6776, 0.8224, 0.5000], [0.8224, 0.3224, 0.5000], [0.3224, 0.1776, 0.5000], [0.3740, 0.8740, 0.0000], [0.8740, 0.6260, 0.0000], [0.6260, 0.1260, 0.0000], [0.1260, 0.3740, 0.0000]]
}



Most stable pick: arrangement b. Distance to second place: 60 meV/atom.



Arrangement a

{
  "formula": "CaHgBi3",
  "functional": "PBE",
  "state": "relaxed",
  "magmom_total_mub_per_fu": 0.0,
  "cell": [[-2.4957, 1.6853, -5.0450], [-3.6436, -4.6016, 0.2653], [-3.8751, 3.2413, 2.9997]],
  "species": ["Ca", "Bi", "Bi", "Bi", "Hg"],
  "frac_coords": [[0.0000, 0.0000, 0.0000], [0.0000, 0.5000, 0.0000], [0.0000, 0.0000, 0.5000], [0.5000, 0.0000, 0.0000], [0.5000, 0.5000, 0.5000]]
}



Arrangement b

{
  "formula": "CaHgBi3",
  "functional": "PBE",
  "state": "relaxed",
  "magmom_total_mub_per_fu": 0.0,
  "cell": [[-1.8139, -3.7918, 1.6667], [0.2201, -3.4269, -7.5567], [7.4982, -2.7133, 1.9877]],
  "species": ["Ca", "Ca", "Hg", "Hg", "Bi", "Bi", "Bi", "Bi", "Bi", "Bi"],
  "frac_coords": [[0.7500, 0.2616, 0.7633], [0.2500, 0.7384, 0.2367], [0.2500, 0.5550, 0.8592], [0.7500, 0.4450, 0.1408], [0.7500, 0.0428, 0.3714], [0.2500, 0.9572, 0.6286], [0.2500, 0.1303, 0.0624], [0.7500, 0.6310, 0.5470], [0.2500, 0.3690, 0.4530], [0.7500, 0.8697, 0.9376]]
}



Most stable pick: arrangement b. Distance to second place: 720 meV/atom.



Arrangement a

{
  "formula": "Ca4Hg5Bi",
  "functional": "PBE",
  "state": "relaxed",
  "magmom_total_mub_per_fu": 0.0,
  "cell": [[-1.3037, 2.5099, 2.6465], [-3.0146, 0.8406, -2.2822], [-9.6813, -13.3346, 7.8769]],
  "species": ["Ca", "Ca", "Ca", "Ca", "Hg", "Hg", "Hg", "Hg", "Hg", "Bi"],
  "frac_coords": [[0.0000, 0.0000, 0.1938], [0.0000, 0.0000, 0.3988], [0.0000, 0.0000, 0.6012], [0.0000, 0.0000, 0.8062], [0.5000, 0.5000, 0.1012], [0.5000, 0.5000, 0.2981], [0.5000, 0.5000, 0.5000], [0.5000, 0.5000, 0.7019], [0.5000, 0.5000, 0.8988], [0.0000, 0.0000, 0.0000]]
}



Arrangement b

{
  "formula": "Ca4Hg5Bi",
  "functional": "PBE",
  "state": "relaxed",
  "magmom_total_mub_per_fu": 0.0,
  "cell": [[5.0144, 0.0000, -1.7191], [-0.5786, 6.3998, -1.6878], [0.1098, 0.0192, 8.4929]],
  "species": ["Ca", "Ca", "Ca", "Ca", "Hg", "Hg", "Hg", "Hg", "Hg", "Bi"],
  "frac_coords": [[0.6933, 0.3102, 0.3865], [0.0957, 0.8635, 0.1914], [0.3067, 0.6898, 0.6135], [0.9043, 0.1365, 0.8086], [0.2868, 0.1752, 0.5736], [0.1056, 0.3987, 0.2112], [0.8944, 0.6013, 0.7888], [0.5000, 0.5000, 0.0000], [0.7132, 0.8248, 0.4264], [0.5000, 0.0000, 0.0000]]
}



Most stable pick: arrangement b. Distance to second place: 53 meV/atom.



Arrangement a

{
  "formula": "Ca2Hg8Bi",
  "functional": "PBE",
  "state": "relaxed",
  "magmom_total_mub_per_fu": 0.0,
  "cell": [[4.8173, 0.0000, 0.0000], [0.0000, 4.8173, 0.0000], [0.0000, 0.0000, 13.0110]],
  "species": ["Ca", "Ca", "Hg", "Hg", "Hg", "Hg", "Hg", "Hg", "Hg", "Hg", "Bi"],
  "frac_coords": [[0.0000, 0.0000, 0.3208], [0.0000, 0.0000, 0.6792], [0.0000, 0.5000, 0.5000], [0.5000, 0.0000, 0.5000], [0.5000, 0.5000, 0.3253], [0.5000, 0.5000, 0.6747], [0.0000, 0.5000, 0.1557], [0.5000, 0.0000, 0.1557], [0.0000, 0.5000, 0.8443], [0.5000, 0.0000, 0.8443], [0.0000, 0.0000, 0.0000]]
}



Arrangement b

{
  "formula": "Ca2Hg8Bi",
  "functional": "PBE",
  "state": "relaxed",
  "magmom_total_mub_per_fu": 0.0,
  "cell": [[4.8065, 0.3620, 0.0000], [0.5491, 9.4557, 0.0000], [0.2745, 4.7279, 6.9984]],
  "species": ["Ca", "Ca", "Hg", "Hg", "Hg", "Hg", "Hg", "Hg", "Hg", "Hg", "Bi"],
  "frac_coords": [[0.0000, 0.3640, 0.2721], [0.0000, 0.6360, 0.7279], [0.9491, 0.0391, 0.2683], [0.9491, 0.3075, 0.7317], [0.4854, 0.3352, 0.0000], [0.5000, 0.7716, 0.4567], [0.5000, 0.2284, 0.5433], [0.5146, 0.6648, 0.0000], [0.0509, 0.6925, 0.2683], [0.0509, 0.9609, 0.7317], [0.5000, 0.0000, 0.0000]]
}



Most stable pick: arrangement a. Distance to second place: 80 meV/atom.



Arrangement a

{
  "formula": "Ca2Hg4Bi",
  "functional": "PBE",
  "state": "relaxed",
  "magmom_total_mub_per_fu": 0.0,
  "cell": [[11.2614, 0.0000, 0.0000], [0.0000, 6.3607, -2.9433], [0.0000, -0.9929, 6.1988]],
  "species": ["Ca", "Ca", "Ca", "Ca", "Hg", "Hg", "Hg", "Hg", "Hg", "Hg", "Hg", "Hg", "Bi", "Bi"],
  "frac_coords": [[0.0000, 0.6804, 0.3608], [0.0000, 0.3196, 0.6392], [0.5000, 0.8196, 0.6392], [0.5000, 0.1804, 0.3608], [0.7773, 0.5008, 0.0000], [0.7500, 0.5005, 0.5000], [0.7500, 0.0005, 0.5000], [0.7227, 0.0008, 0.0000], [0.2773, 0.9992, 0.0000], [0.2500, 0.9995, 0.5000], [0.2500, 0.4995, 0.5000], [0.2227, 0.4992, 0.0000], [0.0000, 0.0000, 0.0000], [0.5000, 0.5000, 0.0000]]
}



Arrangement b

{
  "formula": "Ca2Hg4Bi",
  "functional": "PBE",
  "state": "relaxed",
  "magmom_total_mub_per_fu": 0.0,
  "cell": [[5.7146, 0.0000, 0.0000], [0.0000, 5.7146, 0.0000], [-2.8573, -2.8573, 8.0418]],
  "species": ["Ca", "Ca", "Hg", "Hg", "Hg", "Hg", "Bi"],
  "frac_coords": [[0.6162, 0.6162, 0.2323], [0.3838, 0.3838, 0.7677], [0.8047, 0.8047, 0.6093], [0.1953, 0.1953, 0.3907], [0.0000, 0.5000, 0.0000], [0.5000, 0.0000, 0.0000], [0.0000, 0.0000, 0.0000]]
}



Most stable pick: arrangement a. Distance to second place: 243 meV/atom.



Arrangement a

{
  "formula": "CaBi3I",
  "functional": "PBE",
  "state": "relaxed",
  "magmom_total_mub_per_fu": 0.0,
  "cell": [[-4.1307, 3.0875, -2.9527], [1.7906, -2.4777, -5.0960], [-3.8787, -4.4320, 0.7919]],
  "species": ["I", "Ca", "Bi", "Bi", "Bi"],
  "frac_coords": [[0.0000, 0.0000, 0.0000], [0.5000, 0.5000, 0.5000], [0.0000, 0.5000, 0.0000], [0.0000, 0.0000, 0.5000], [0.5000, 0.0000, 0.0000]]
}



Arrangement b

{
  "formula": "CaBi3I",
  "functional": "PBE",
  "state": "relaxed",
  "magmom_total_mub_per_fu": 0.0,
  "cell": [[5.9436, 0.0000, 0.0000], [0.0000, 5.9436, 0.0000], [0.0000, 0.0000, 5.9436]],
  "species": ["I", "Ca", "Bi", "Bi", "Bi"],
  "frac_coords": [[0.5000, 0.5000, 0.5000], [0.0000, 0.0000, 0.0000], [0.0000, 0.5000, 0.0000], [0.0000, 0.0000, 0.5000], [0.5000, 0.0000, 0.0000]]
}



Most stable pick: arrangement b. Distance to second place: 35 meV/atom.



Arrangement a

{
  "formula": "CaBi2I",
  "functional": "PBE",
  "state": "relaxed",
  "magmom_total_mub_per_fu": 0.0,
  "cell": [[0.0000, 4.0682, 4.0682], [4.0682, 0.0000, 4.0682], [4.0682, 4.0682, 0.0000]],
  "species": ["I", "Ca", "Bi", "Bi"],
  "frac_coords": [[0.5000, 0.5000, 0.5000], [0.0000, 0.0000, 0.0000], [0.2500, 0.2500, 0.2500], [0.7500, 0.7500, 0.7500]]
}



Arrangement b

{
  "formula": "CaBi2I",
  "functional": "PBE",
  "state": "relaxed",
  "magmom_total_mub_per_fu": 0.0,
  "cell": [[-3.3386, -2.4665, -2.0856], [2.3319, 0.2349, -4.0108], [5.9901, -12.5319, 0.0587]],
  "species": ["I", "I", "Ca", "Ca", "Bi", "Bi", "Bi", "Bi"],
  "frac_coords": [[0.0000, 0.0000, 0.0000], [0.7500, 0.2500, 0.5000], [0.5000, 0.5000, 0.0000], [0.2500, 0.7500, 0.5000], [0.5832, 0.1250, 0.2500], [0.1668, 0.6250, 0.2500], [0.3750, 0.4168, 0.7500], [0.8750, 0.8332, 0.7500]]
}



Most stable pick: arrangement b. Distance to second place: 506 meV/atom.



Arrangement a

{
  "formula": "Ca3BiI",
  "functional": "PBE",
  "state": "relaxed",
  "magmom_total_mub_per_fu": 0.0,
  "cell": [[-4.9907, 0.7019, 3.4220], [-1.8916, -5.5600, -1.6183], [2.9368, -2.3884, 4.7729]],
  "species": ["I", "Ca", "Ca", "Ca", "Bi"],
  "frac_coords": [[0.5000, 0.5000, 0.5000], [0.0000, 0.5000, 0.0000], [0.0000, 0.0000, 0.5000], [0.5000, 0.0000, 0.0000], [0.0000, 0.0000, 0.0000]]
}



Arrangement b

{
  "formula": "Ca3BiI",
  "functional": "PBE",
  "state": "relaxed",
  "magmom_total_mub_per_fu": 1.5,
  "cell": [[-5.4373, 1.9829, 0.4066], [-1.6032, -3.5071, -4.3349], [-1.2358, -4.1749, 3.8347]],
  "species": ["I", "Ca", "Ca", "Ca", "Bi"],
  "frac_coords": [[0.0000, 0.0000, 0.0000], [0.0000, 0.5000, 0.0000], [0.0000, 0.0000, 0.5000], [0.5000, 0.0000, 0.0000], [0.5000, 0.5000, 0.5000]]
}



Most stable pick: arrangement a. Distance to second place: 194 meV/atom.